The following is a DFT calculation (PBE) of a relaxed CsTbAgTe2 crystal.

Computed properties:
The calculation puts the uncorrected formation energy at -839 meV per atom. The calculation puts the mass density at 5.8 g/cm3. As for the volume: 187.36 Å³/f.u. For the density of states at the Fermi level, the calculation gives 1.04 states/eV/f.u. The calculation puts the electronic total energy at -3.763 eV per atom.

abc: 4.7882 8.8074 8.8856
angles: 90.00 90.00 90.00
With the nearest neighbours (Å) after each atom.
Positions (direct):
Cs 0.0000 0.0000 0.2500  8 Te 3.88-4.16
Cs 0.0000 0.0000 0.7500  8 Te 3.88-4.16
Tb 0.5000 0.5000 0.2500  4 Te 3.04, 4 Ag 3.27
Tb 0.5000 0.5000 0.7500  4 Te 3.04, 4 Ag 3.27
Ag 0.0000 0.5000 0.0000  4 Te 2.99-3.34, 4 Tb 3.27
Ag 0.0000 0.5000 0.5000  4 Te 2.99-3.34, 4 Tb 3.27
Te 0.4521 0.2651 0.0000  2 Ag 2.99-3.34, 2 Tb 3.04
Te 0.4521 0.7349 0.5000  2 Ag 2.99-3.34, 2 Tb 3.04
Te 0.5479 0.2651 0.5000  2 Ag 2.99-3.34, 2 Tb 3.04
Te 0.5479 0.7349 0.0000  2 Ag 2.99-3.34, 2 Tb 3.04

=====

The following is a DFT calculation (PBE) of a relaxed Pm8CoIr5 crystal.

Computed properties:
The calculation puts the mass density at 10.7 g/cm3. As for the volume: 339.51 Å³/f.u. For the density of states at the Fermi level, the calculation gives 8.53 states/eV/f.u. The calculation puts the electronic total energy at -6.904 eV per atom. Its calculated formation energy is -699 kJ/mol of formula units.

abc: 7.6120 7.6120 7.6120
angles: 109.66 109.66 109.09
With the nearest neighbours (Å) after each atom.
Positions (direct):
Pm 0.0018 0.1307 0.7486  1 Co 2.82, 2 Ir 2.86-2.87
Pm 0.2531 0.5000 0.6214  3 Ir 2.86-2.87
Pm 0.3683 0.7469 0.2468  3 Ir 2.86-2.87
Pm 0.3821 0.2531 0.2514  1 Co 2.82, 2 Ir 2.86-2.87
Pm 0.5000 0.1215 0.7532  3 Ir 2.86-2.87
Pm 0.7469 0.9982 0.1290  1 Co 2.82, 2 Ir 2.86-2.87
Pm 0.8693 0.6179 0.8710  1 Co 2.82, 2 Ir 2.86-2.87
Pm 0.8785 0.6317 0.3786  3 Ir 2.86-2.87
Co 0.7500 0.2500 0.5000  4 Pm 2.82
Ir 0.1290 0.0048 0.3764  4 Pm 2.86-2.87
Ir 0.2474 0.8710 0.8759  4 Pm 2.86-2.87
Ir 0.5000 0.5000 0.0000  4 Pm 2.86
Ir 0.6284 0.7526 0.6236  4 Pm 2.86-2.87
Ir 0.9952 0.3716 0.1241  4 Pm 2.86-2.87

=====

The following is a DFT calculation (PBE) of a relaxed Ba2AlIr crystal.

Computed properties:
The calculation puts the mass density at 6.8 g/cm3. As for the volume: 120.44 Å³/f.u. For the density of states at the Fermi level, the calculation gives 3.01 states/eV/f.u. The calculation puts the electronic total energy at -3.909 eV per atom. Its calculated formation energy is 79 kJ/mol of formula units.

abc: 5.3118 5.3118 4.2686
angles: 90.00 90.00 90.16
With the nearest neighbours (Å) after each atom.
Positions (direct):
Ba 0.0000 0.5000 0.0000  4 Ir 3.41, 4 Al 3.41, 4 Ba 3.75-3.76
Ba 0.5000 0.0000 0.0000  4 Ir 3.41, 4 Al 3.41, 4 Ba 3.75-3.76
Al 0.0000 0.0000 0.5000  8 Ba 3.41, 4 Ir 3.75-3.76
Ir 0.5000 0.5000 0.5000  8 Ba 3.41, 4 Al 3.75-3.76

=====

The following is a DFT calculation (PBE) of a relaxed CeYAu2 crystal.

Computed properties:
The calculation puts the mass density at 10.6 g/cm3. As for the volume: 97.28 Å³/f.u. For the density of states at the Fermi level, the calculation gives 7.52 states/eV/f.u. The calculation puts the electronic total energy at -5.466 eV per atom. Its calculated formation energy is -281 kJ/mol of formula units.

abc: 3.5915 3.5915 7.5415
angles: 90.00 90.00 90.00
With the nearest neighbours (Å) after each atom.
Positions (direct):
Ce 0.0000 0.0000 0.0000  8 Au 3.25, 4 Ce 3.59
Y 0.0000 0.0000 0.5000  8 Au 3.08
Au 0.5000 0.5000 0.2688  4 Y 3.08, 4 Ce 3.25
Au 0.5000 0.5000 0.7312  4 Y 3.08, 4 Ce 3.25

=====

The following is a DFT calculation (PBE) of a relaxed MgTcSnP crystal.

Computed properties:
The calculation puts the mass density at 5.6 g/cm3. As for the volume: 80.69 Å³/f.u. For the density of states at the Fermi level, the calculation gives 1.41 states/eV/f.u. The calculation puts the electronic total energy at -5.538 eV per atom. Its calculated formation energy is -75 kJ/mol of formula units. The energy above the most stable polymorph in this dataset is 68 meV/atom.

abc: 3.7576 3.7576 6.8968
angles: 105.17 105.17 60.39
With the nearest neighbours (Å) after each atom.
Positions (direct):
Mg 0.0000 0.0000 0.0000  3 P 2.73-2.74
Tc 0.7792 0.7792 0.3413  3 P 2.25
Sn 0.2152 0.2152 0.6508  3 Tc 2.97-2.99, 3 Mg 3.13-3.18
P 0.4161 0.4161 0.2520  3 Tc 2.25

=====

The following is a DFT calculation (PBE) of a relaxed AlAg2I5 crystal.

Computed properties:
The calculation puts the uncorrected formation energy at -349 meV per atom. The calculation puts the mass density at 3.2 g/cm3. As for the volume: 448.85 Å³/f.u. For the density of states at the Fermi level, the calculation gives 0.00 states/eV/f.u. The calculation puts the electronic total energy at -2.499 eV per atom.

abc: 8.4553 8.4578 8.6670
angles: 119.19 119.17 90.01
With the nearest neighbours (Å) after each atom.
Positions (direct):
Al 0.0000 0.0000 0.0000  5 I 2.53-2.77
Ag 0.0519 0.5518 0.1036  2 I 2.69
Ag 0.5520 0.0519 0.1038  2 I 2.69
I 0.2536 0.8098 0.1169  1 Ag 2.69, 1 Al 2.77
I 0.3072 0.2534 0.1168  1 Ag 2.69, 1 Al 2.77
I 0.7982 0.7985 0.5974  1 Al 2.53
I 0.8107 0.8644 0.1184  1 Ag 2.69, 1 Al 2.77
I 0.8638 0.3075 0.1174  1 Ag 2.69, 1 Al 2.77

=====

The following is a DFT calculation (PBE) of a relaxed SiMo2Cl crystal.

Computed properties:
The calculation puts the uncorrected formation energy at 297 meV per atom. The calculation puts the mass density at 6.8 g/cm3. As for the volume: 62.81 Å³/f.u. For the density of states at the Fermi level, the calculation gives 2.91 states/eV/f.u. The calculation puts the electronic total energy at -6.936 eV per atom. The energy above the most stable polymorph in this dataset is 302 meV/atom.

abc: 2.7650 4.2806 5.3359
angles: 90.00 96.02 90.00
With the nearest neighbours (Å) after each atom.
Positions (direct):
Si 0.0000 0.0000 0.0000  5 Mo 2.53-2.72, 2 Si 2.77
Mo 0.4672 0.5000 0.8220  2 Cl 2.59-2.80, 4 Si 2.71-2.72, 4 Mo 2.77-2.81
Mo 0.7558 0.0000 0.5304  2 Cl 2.46, 1 Si 2.53
Cl 0.6014 0.5000 0.3092  3 Mo 2.46-2.59

=====

The following is a DFT calculation (PBE) of a relaxed UIrPt2 crystal.

Computed properties:
The calculation puts the mass density at 19.0 g/cm3. As for the volume: 71.53 Å³/f.u. For the density of states at the Fermi level, the calculation gives 4.96 states/eV/f.u. The calculation puts the electronic total energy at -8.417 eV per atom. Its calculated formation energy is -139 kJ/mol of formula units.

abc: 4.6595 4.6595 4.6595
angles: 60.00 60.00 60.00
With the nearest neighbours (Å) after each atom.
Positions (direct):
U 0.0000 0.0000 0.0000  8 Pt 2.85
Ir 0.5000 0.5000 0.5000  8 Pt 2.85
Pt 0.2500 0.2500 0.2500  4 U 2.85, 4 Ir 2.85
Pt 0.7500 0.7500 0.7500  4 U 2.85, 4 Ir 2.85